Below is crystalline Zr3Al5 at its relaxed geometry, with properties calculated at the PBE level.

Results
The space group is P6_3/mcm (193). Its total energy is -45.99 eV/f.u.

Cell: 8.0782 8.0782 5.5436 Å, 90.00 90.00 120.00°
Fractional coordinates of all 16 atoms:
Al1 0.3333 0.6667 0.0000
Al2 0.6667 0.3333 0.5000
Al3 0.6667 0.3333 0.0000
Al4 0.3333 0.6667 0.5000
Al5 0.2101 0.0000 0.2500
Al6 0.7899 0.0000 0.7500
Al7 0.0000 0.2101 0.2500
Al8 0.7899 0.7899 0.2500
Al9 0.2101 0.2101 0.7500
Al10 0.0000 0.7899 0.7500
Zr1 0.5993 0.0000 0.2500
Zr2 0.4007 0.0000 0.7500
Zr3 0.0000 0.5993 0.2500
Zr4 0.4007 0.4007 0.2500
Zr5 0.5993 0.5993 0.7500
Zr6 0.0000 0.4007 0.7500